Entry from Alexandria via LeMat-Bulk: a relaxed CrCu2Cl crystal (PBE).

a = 4.3202 Å, b = 4.3202 Å, c = 6.2200 Å
α = 83.67°, β = 83.67°, γ = 41.36°
Last column: nearest neighbours and their distance in Å.
Sites, in units of the cell vectors:
Cr 0.2126 0.2126 0.1839  2 Cl 2.37, 5 Cu 2.60-2.62
Cu 0.9449 0.9449 0.9854  3 Cu 2.42-2.47, 3 Cr 2.61-2.62
Cu 0.6751 0.6751 0.8545  1 Cl 2.36, 3 Cu 2.42-2.47, 2 Cr 2.60
Cl 0.6674 0.6674 0.4761  1 Cu 2.36, 2 Cr 2.37

Computed properties:
D(E_F) in states/eV/atom: 0.5020
Crystal system: monoclinic
Formation energy from raw total energies in eV/atom: 0.161
Space group: Cm (8)

Entry from Alexandria via LeMat-Bulk: a relaxed KTa2Ag crystal (PBE).

a = 6.3246 Å, b = 6.3246 Å, c = 6.3246 Å
α = 143.42°, β = 143.42°, γ = 52.70°
Last column: nearest neighbours and their distance in Å.
Sites, in units of the cell vectors:
Ag 0.2500 0.7500 0.5000  4 K 2.81
K 0.7500 0.2500 0.5000  4 Ag 2.81
Ta 0.0000 0.0000 0.0000  4 Ta 2.81
Ta 0.5000 0.5000 0.0000  4 Ta 2.81

Computed properties:
E_form in kJ/mol of atoms: 123
D(E_F) in states/eV/atom: 0.8989
Crystal system: tetragonal
Space group: I4/mmm (139)

Entry from Alexandria via LeMat-Bulk: a relaxed CeZnCoRu crystal (PBE).

a = 4.5023 Å, b = 4.5023 Å, c = 4.5023 Å
α = 60.00°, β = 60.00°, γ = 60.00°
Last column: nearest neighbours and their distance in Å.
Sites, in units of the cell vectors:
Ru 0.7500 0.7500 0.7500  4 Ce 2.76, 4 Zn 2.76
Zn 0.0000 0.0000 0.0000  4 Co 2.76, 4 Ru 2.76
Co 0.2500 0.2500 0.2500  4 Ce 2.76, 4 Zn 2.76
Ce 0.5000 0.5000 0.5000  4 Co 2.76, 4 Ru 2.76

Computed properties:
E_form in kJ/mol of atoms: -14
D(E_F) in states/eV/atom: 0.5784
Crystal system: cubic
Space group: F-43m (216)

Entry from Alexandria via LeMat-Bulk: a relaxed Pm2Nd3Dy6Th crystal (PBE).

a = 6.2491 Å, b = 6.2491 Å, c = 11.8337 Å
α = 95.05°, β = 95.05°, γ = 119.97°
Last column: nearest neighbours and their distance in Å.
Sites, in units of the cell vectors:
Pm 0.3333 0.6667 0.0000  6 Dy 3.56-3.57, 3 Th 3.61, 3 Pm 3.61
Pm 0.6667 0.3333 0.0000  6 Dy 3.56-3.57, 3 Th 3.61, 3 Pm 3.61
Nd 0.1671 0.8329 0.5000  6 Dy 3.60-3.61, 6 Nd 3.60-3.62
Nd 0.8329 0.1671 0.5000  6 Dy 3.60-3.61, 6 Nd 3.60-3.62
Nd 0.5000 0.5000 0.5000  6 Dy 3.60-3.62, 6 Nd 3.60-3.61
Dy 0.9173 0.5878 0.7525  1 Th 3.54, 2 Pm 3.56, 6 Dy 3.57-3.63, 3 Nd 3.60-3.61
Dy 0.7534 0.7534 0.2475  1 Th 3.54, 2 Pm 3.57, 6 Dy 3.57-3.63, 3 Nd 3.60-3.62
Dy 0.0827 0.4122 0.2475  1 Th 3.54, 2 Pm 3.56, 6 Dy 3.57-3.63, 3 Nd 3.60-3.61
Dy 0.5878 0.9173 0.7525  1 Th 3.54, 2 Pm 3.56, 6 Dy 3.57-3.63, 3 Nd 3.60-3.61
Dy 0.2466 0.2466 0.7525  1 Th 3.54, 2 Pm 3.57, 6 Dy 3.57-3.63, 3 Nd 3.60-3.62
Dy 0.4122 0.0827 0.2475  1 Th 3.54, 2 Pm 3.56, 6 Dy 3.57-3.63, 3 Nd 3.60-3.61
Th 0.0000 0.0000 0.0000  6 Dy 3.54, 6 Pm 3.61

Computed properties:
E_form in kJ/mol of atoms: 2
D(E_F) in states/eV/atom: 1.2199
Crystal system: monoclinic
Space group: C2/m (12)

Entry from Alexandria via LeMat-Bulk: a relaxed SrMnHg crystal (PBE).

a = 5.0959 Å, b = 5.0959 Å, c = 5.0959 Å
α = 60.00°, β = 60.00°, γ = 60.00°
Last column: nearest neighbours and their distance in Å.
Sites, in units of the cell vectors:
Hg 0.7500 0.7500 0.7500  4 Mn 3.12, 4 Sr 3.12
Mn 0.0000 0.0000 0.0000  4 Hg 3.12
Sr 0.5000 0.5000 0.5000  4 Hg 3.12

Computed properties:
E_form in kJ/mol of atoms: 29
D(E_F) in states/eV/atom: 1.2106
Crystal system: cubic
Space group: F-43m (216)

Entry from Alexandria via LeMat-Bulk: a relaxed GaCo2HPd crystal (PBE).

a = 3.6023 Å, b = 3.6023 Å, c = 4.1084 Å
α = 90.00°, β = 90.00°, γ = 90.00°
Last column: nearest neighbours and their distance in Å.
Sites, in units of the cell vectors:
H 0.0000 0.0000 0.0000  4 Co 1.80
Co 0.0000 0.5000 0.0000  2 H 1.80
Co 0.5000 0.0000 0.0000  2 H 1.80
Ga 0.0000 0.0000 0.5000  2 H 2.05
Pd 0.5000 0.5000 0.5000  4 Ga 2.55, 8 Co 2.73

Computed properties:
D(E_F) in states/eV/atom: 1.0189
Crystal system: tetragonal
Space group: P4/mmm (123)

Entry from Alexandria via LeMat-Bulk: a relaxed LiCaSc2O4 crystal (PBE).

a = 3.1840 Å, b = 5.5029 Å, c = 10.7981 Å
α = 90.00°, β = 90.00°, γ = 106.82°
Last column: nearest neighbours and their distance in Å.
Sites, in units of the cell vectors:
Li 0.8404 0.6807 0.7500  4 O 1.86-1.90
Li 0.1596 0.3193 0.2500  4 O 1.86-1.90
Ca 0.1103 0.2207 0.7500  6 O 2.41-2.50
Ca 0.8897 0.7793 0.2500  6 O 2.41-2.50
Sc 0.3714 0.7429 0.5525  6 O 2.10-2.28
Sc 0.6286 0.2571 0.0525  6 O 2.10-2.28
Sc 0.6286 0.2571 0.4475  6 O 2.10-2.28
Sc 0.3714 0.7429 0.9475  6 O 2.10-2.28
O 0.2693 0.5386 0.1149  1 Li 1.86
O 0.7307 0.4614 0.6149  1 Li 1.86
O 0.7307 0.4614 0.8851  1 Li 1.86
O 0.2693 0.5386 0.3851  1 Li 1.86
O 0.0000 0.0000 0.5000  4 Sc 2.17
O 0.0000 0.0000 0.0000  4 Sc 2.17
O 0.4389 0.8778 0.7500  2 Li 1.90
O 0.5611 0.1222 0.2500  2 Li 1.90

Computed properties:
D(E_F) in states/eV/atom: 0.1869
Crystal system: orthorhombic
Formation energy from raw total energies in eV/atom: -2.912
Space group: Cmcm (63)

Entry from Alexandria via LeMat-Bulk: a relaxed Ti5Si2Pb crystal (PBE).

a = 6.7096 Å, b = 6.7096 Å, c = 7.6761 Å
α = 115.92°, β = 115.92°, γ = 90.00°
Last column: nearest neighbours and their distance in Å.
Sites, in units of the cell vectors:
Ti 0.5207 0.6985 0.7192  3 Si 2.59-2.61, 2 Pb 2.84
Ti 0.8015 0.9793 0.2808  3 Si 2.59-2.61, 2 Pb 2.84
Ti 0.0000 0.0000 0.0000  4 Si 2.62
Ti 0.5000 0.5000 0.0000  4 Si 2.62
Ti 0.1985 0.0207 0.7192  3 Si 2.59-2.61, 2 Pb 2.84
Ti 0.6985 0.1985 0.7192  3 Si 2.59-2.61, 2 Pb 2.84
Ti 0.0207 0.5207 0.7192  3 Si 2.59-2.61, 2 Pb 2.84
Ti 0.3015 0.8015 0.2808  3 Si 2.59-2.61, 2 Pb 2.84
Ti 0.9793 0.4793 0.2808  3 Si 2.59-2.61, 2 Pb 2.84
Ti 0.4793 0.3015 0.2808  3 Si 2.59-2.61, 2 Pb 2.84
Si 0.1331 0.3669 0.0000  1 Si 2.53, 8 Ti 2.59-2.62
Si 0.6331 0.1331 0.0000  1 Si 2.53, 8 Ti 2.59-2.62
Si 0.3669 0.8669 0.0000  1 Si 2.53, 8 Ti 2.59-2.62
Si 0.8669 0.6331 0.0000  1 Si 2.53, 8 Ti 2.59-2.62
Pb 0.7500 0.7500 0.5000  10 Ti 2.84-3.02
Pb 0.2500 0.2500 0.5000  10 Ti 2.84-3.02

Computed properties:
D(E_F) in states/eV/atom: 1.3146
Crystal system: tetragonal
Formation energy from raw total energies in eV/atom: -0.492
Space group: I4/mcm (140)

Entry from Alexandria via LeMat-Bulk: a relaxed TaCoGeSe2 crystal (PBE).

a = 4.7104 Å, b = 4.3321 Å, c = 4.7104 Å
α = 90.00°, β = 90.00°, γ = 90.00°
Last column: nearest neighbours and their distance in Å.
Sites, in units of the cell vectors:
Ge 0.0000 0.5000 0.0000  2 Co 2.17
Co 0.0000 0.0000 0.0000  2 Ge 2.17, 4 Se 2.36
Se 0.0000 0.0000 0.5000  2 Co 2.36
Se 0.5000 0.0000 0.0000  2 Co 2.36
Ta 0.5000 0.5000 0.5000  8 Se 3.20, 4 Ge 3.33

Computed properties:
D(E_F) in states/eV/atom: 1.0816
Crystal system: tetragonal
Formation energy from raw total energies in eV/atom: 0.689
Space group: P4/mmm (123)

Entry from Alexandria via LeMat-Bulk: a relaxed BaInAs2 crystal (PBE).

a = 4.0770 Å, b = 4.0770 Å, c = 6.7212 Å
α = 90.00°, β = 90.00°, γ = 89.99°
Last column: nearest neighbours and their distance in Å.
Sites, in units of the cell vectors:
As 0.0000 0.0000 0.9399  1 As 2.55
As 0.0000 0.0000 0.5601  1 As 2.55
Ba 0.5000 0.5000 0.2500  2 In 3.36, 8 As 3.56
In 0.5000 0.5000 0.7500  8 As 3.15, 2 Ba 3.36

Computed properties:
E_form in kJ/mol of atoms: -34
D(E_F) in states/eV/atom: 0.5711
Crystal system: tetragonal
Space group: P4/mmm (123)

Entry from Alexandria via LeMat-Bulk: a relaxed LiCuP3O9 crystal (PBE).

a = 6.6174 Å, b = 6.6174 Å, c = 9.6584 Å
α = 86.99°, β = 86.99°, γ = 59.69°
Last column: nearest neighbours and their distance in Å.
Sites, in units of the cell vectors:
Li 0.2100 0.4671 0.4666  3 O 1.87-2.08
Li 0.4671 0.2100 0.9666  3 O 1.87-2.08
Cu 0.6569 0.6736 0.0022  4 O 1.93-2.05
Cu 0.6736 0.6569 0.5022  4 O 1.93-2.05
P 0.7832 0.2510 0.7411  4 O 1.50-1.62
P 0.9401 0.2963 0.2596  4 O 1.50-1.60
P 0.2510 0.7832 0.2411  4 O 1.50-1.62
P 0.2963 0.9401 0.7596  4 O 1.50-1.60
P 0.9893 0.7376 0.7557  4 O 1.49-1.62
P 0.7376 0.9893 0.2557  4 O 1.49-1.62
O 0.6573 0.3318 0.8781  1 P 1.50
O 0.6795 0.4040 0.6142  1 P 1.50
O 0.9018 0.4190 0.1202  1 P 1.50
O 0.9517 0.4219 0.3839  1 P 1.52
O 0.4040 0.6795 0.1142  1 P 1.50
O 0.3318 0.6573 0.3781  1 P 1.50
O 0.4190 0.9018 0.6202  1 P 1.50
O 0.4219 0.9517 0.8839  1 P 1.52
O 0.0425 0.5922 0.6319  1 P 1.49
O 0.9121 0.6651 0.8887  1 P 1.50
O 0.1836 0.0537 0.2525  2 P 1.60-1.62
O 0.0537 0.1836 0.7525  2 P 1.60-1.62
O 0.6651 0.9121 0.3887  1 P 1.50
O 0.5922 0.0425 0.1319  1 P 1.49
O 0.8071 0.0038 0.7076  2 P 1.61
O 0.7523 0.2154 0.2975  2 P 1.60-1.62
O 0.0038 0.8071 0.2076  2 P 1.61
O 0.2154 0.7523 0.7975  2 P 1.60-1.62

Computed properties:
Crystal system: monoclinic
Formation energy from raw total energies in eV/atom: -1.908
Space group: Cc (9)

Entry from Alexandria via LeMat-Bulk: a relaxed HoAl9Cu2 crystal (PBE).

a = 7.0860 Å, b = 8.3321 Å, c = 8.3321 Å
α = 79.58°, β = 64.84°, γ = 64.84°
Last column: nearest neighbours and their distance in Å.
Sites, in units of the cell vectors:
Ho 0.5000 0.0000 0.0000  18 Al 3.31-3.54
Ho 0.2500 0.5000 0.5000  18 Al 3.31-3.54
Al 0.7500 0.5000 0.5000  4 Cu 2.81, 8 Al 2.86
Al 0.0000 0.0000 0.0000  4 Cu 2.81, 8 Al 2.86
Al 0.0063 0.9226 0.6772  2 Cu 2.58-2.66, 6 Al 2.62-2.86
Al 0.6061 0.0774 0.3228  2 Cu 2.58-2.66, 6 Al 2.62-2.86
Al 0.6789 0.1772 0.5774  2 Cu 2.58-2.66, 6 Al 2.62-2.86
Al 0.4336 0.8228 0.4226  2 Cu 2.58-2.66, 6 Al 2.62-2.86
Al 0.7437 0.8228 0.5774  2 Cu 2.58-2.66, 6 Al 2.62-2.86
Al 0.1439 0.1772 0.4226  2 Cu 2.58-2.66, 6 Al 2.62-2.86
Al 0.0711 0.9226 0.3228  2 Cu 2.58-2.66, 6 Al 2.62-2.86
Al 0.3164 0.0774 0.6772  2 Cu 2.58-2.66, 6 Al 2.62-2.86
Al 0.7437 0.5774 0.8228  2 Cu 2.58-2.66, 6 Al 2.62-2.86
Al 0.1439 0.4226 0.1772  2 Cu 2.58-2.66, 6 Al 2.62-2.86
Al 0.0711 0.3228 0.9226  2 Cu 2.58-2.66, 6 Al 2.62-2.86
Al 0.3164 0.6772 0.0774  2 Cu 2.58-2.66, 6 Al 2.62-2.86
Al 0.0063 0.6772 0.9226  2 Cu 2.58-2.66, 6 Al 2.62-2.86
Al 0.6061 0.3228 0.0774  2 Cu 2.58-2.66, 6 Al 2.62-2.86
Al 0.6789 0.5774 0.1772  2 Cu 2.58-2.66, 6 Al 2.62-2.86
Al 0.4336 0.4226 0.8228  2 Cu 2.58-2.66, 6 Al 2.62-2.86
Cu 0.8750 0.2500 0.7500  10 Al 2.58-2.81
Cu 0.8750 0.7500 0.2500  10 Al 2.58-2.81
Cu 0.8750 0.2500 0.2500  10 Al 2.58-2.81
Cu 0.3750 0.7500 0.7500  10 Al 2.58-2.81

Computed properties:
E_form in kJ/mol of atoms: -15
D(E_F) in states/eV/atom: 0.5442
Crystal system: tetragonal
Space group: I4_1/amd (141)

Entry from Alexandria via LeMat-Bulk: a relaxed Ac3Sn4Pt4 crystal (PBE).

a = 4.6161 Å, b = 4.4632 Å, c = 14.2942 Å
α = 98.98°, β = 99.29°, γ = 90.00°
Last column: nearest neighbours and their distance in Å.
Sites, in units of the cell vectors:
Ac 0.3544 0.8544 0.7089  8 Sn 3.47-3.74, 6 Pt 3.49-3.50
Ac 0.6456 0.1456 0.2911  8 Sn 3.47-3.74, 6 Pt 3.49-3.50
Ac 0.0000 0.0000 0.0000  8 Pt 3.49, 4 Sn 3.53
Sn 0.2511 0.2511 0.5022  4 Pt 2.74-2.76
Sn 0.0980 0.5980 0.1959  3 Pt 2.68
Sn 0.9020 0.4020 0.8041  3 Pt 2.68
Sn 0.7489 0.7489 0.4978  4 Pt 2.74-2.76
Pt 0.8057 0.3057 0.6114  5 Sn 2.68-2.76
Pt 0.4512 0.4512 0.9024  2 Sn 2.68, 1 Pt 2.72
Pt 0.5488 0.5488 0.0976  2 Sn 2.68, 1 Pt 2.72
Pt 0.1943 0.6943 0.3886  5 Sn 2.68-2.76

Computed properties:
E_form in kJ/mol of atoms: -90
D(E_F) in states/eV/atom: 0.5618
Crystal system: orthorhombic
Space group: Immm (71)

Entry from Alexandria via LeMat-Bulk: a relaxed MnMoSeN2 crystal (PBE).

a = 3.8844 Å, b = 3.8844 Å, c = 5.3681 Å
α = 90.00°, β = 90.00°, γ = 90.00°
Last column: nearest neighbours and their distance in Å.
Sites, in units of the cell vectors:
Mo 0.0000 0.0000 0.0000  4 N 1.94
Mn 0.5000 0.5000 0.5000  4 Se 2.75
Se 0.0000 0.0000 0.5000  2 Mo 2.68, 4 Mn 2.75
N 0.0000 0.5000 0.0000  2 Mo 1.94
N 0.5000 0.0000 0.0000  2 Mo 1.94

Computed properties:
D(E_F) in states/eV/atom: 0.4254
Crystal system: tetragonal
Formation energy from raw total energies in eV/atom: 0.383
Space group: P4/mmm (123)

no.,raw total energy (eV per atom)
1,-4.75
2,-5.64
3,-6.05
4,-4.88
5,-3.42
6,-5.19
7,-7.46
8,-7.25
9,-5.42
10,-3.84
11,-6.68
12,-4.02
13,-5.70
14,-7.64